1.
Here is a geometry-optimized Rb3MnSn structure from the Alexandria database. Energies are from PBE-GGA.

Results
relative energy among the computed polymorphs = 0 meV/atom
spin magnetization = 1.200 μB/atom
DFT total energy = -0.18512 Ry per atom
energy relative to the elements = 696 meV per atom

Structure (CIF):
```
data_Rb3MnSn
_cell_length_a 7.138
_cell_length_b 7.138
_cell_length_c 7.138
_cell_angle_alpha 90.00
_cell_angle_beta 90.00
_cell_angle_gamma 90.00
_symmetry_space_group_name_H-M 'P m -3 m'
_symmetry_Int_Tables_number 221
_symmetry_space_group_name_Hall '-P 4 2 3'
loop_
_atom_site_label
_atom_site_type_symbol
_atom_site_fract_x
_atom_site_fract_y
_atom_site_fract_z
Rb1 Rb 0.000 0.000 0.500
Mn1 Mn 0.500 0.500 0.500
Sn1 Sn 0.000 0.000 0.000
```


2.
Here is a geometry-optimized Rb2SrMnSn structure from the Alexandria database. Energies are from PBE-GGA.

Results
spin magnetization = 0.727 μB/atom
DFT total energy = -0.15865 Ry per atom
energy relative to the elements = 1199 meV per atom

Structure (CIF):
```
data_Rb2SrMnSn
_cell_length_a 6.288
_cell_length_b 6.288
_cell_length_c 5.907
_cell_angle_alpha 90.00
_cell_angle_beta 90.00
_cell_angle_gamma 90.00
_symmetry_space_group_name_H-M 'P 4/m m m'
_symmetry_Int_Tables_number 123
_symmetry_space_group_name_Hall '-P 4 2'
loop_
_atom_site_label
_atom_site_type_symbol
_atom_site_fract_x
_atom_site_fract_y
_atom_site_fract_z
Rb1 Rb 0.000 0.500 0.000
Sr1 Sr 0.000 0.000 0.000
Mn1 Mn 0.000 0.000 0.500
Sn1 Sn 0.500 0.500 0.500
```


3.
Here is a geometry-optimized RbTa2MnSn structure from the Alexandria database. Energies are from PBE-GGA.

Results
spin magnetization = 0.000 μB/atom
DFT total energy = -0.34320 Ry per atom
energy relative to the elements = 2900 meV per atom

Structure (CIF):
```
data_RbTa2MnSn
_cell_length_a 4.920
_cell_length_b 4.920
_cell_length_c 4.406
_cell_angle_alpha 90.00
_cell_angle_beta 90.00
_cell_angle_gamma 90.00
_symmetry_space_group_name_H-M 'P 4/m m m'
_symmetry_Int_Tables_number 123
_symmetry_space_group_name_Hall '-P 4 2'
loop_
_atom_site_label
_atom_site_type_symbol
_atom_site_fract_x
_atom_site_fract_y
_atom_site_fract_z
Rb1 Rb 0.000 0.000 0.000
Ta1 Ta 0.000 0.500 0.000
Mn1 Mn 0.000 0.000 0.500
Sn1 Sn 0.500 0.500 0.500
```


4.
Here is a geometry-optimized RbMnTc2Sn structure from the Alexandria database. Energies are from PBE-GGA.

Results
spin magnetization = 0.916 μB/atom
DFT total energy = -0.36691 Ry per atom
energy relative to the elements = 1982 meV per atom

Structure (CIF):
```
data_RbMnTc2Sn
_cell_length_a 5.155
_cell_length_b 5.155
_cell_length_c 4.978
_cell_angle_alpha 90.00
_cell_angle_beta 90.00
_cell_angle_gamma 90.00
_symmetry_space_group_name_H-M 'P 4/m m m'
_symmetry_Int_Tables_number 123
_symmetry_space_group_name_Hall '-P 4 2'
loop_
_atom_site_label
_atom_site_type_symbol
_atom_site_fract_x
_atom_site_fract_y
_atom_site_fract_z
Rb1 Rb 0.000 0.000 0.000
Mn1 Mn 0.500 0.500 0.000
Tc1 Tc 0.000 0.500 0.500
Sn1 Sn 0.500 0.500 0.500
```


5.
Here is a geometry-optimized Rb2MnSnTe4 structure from the Alexandria database. Energies are from PBE-GGA.

Results
spin magnetization = 0.625 μB/atom
DFT total energy = -0.29638 Ry per atom
ΔE_f (raw) = -0.57 eV per atom

Structure (CIF):
```
data_Rb2MnSnTe4
_cell_length_a 6.725
_cell_length_b 15.531
_cell_length_c 25.173
_cell_angle_alpha 90.00
_cell_angle_beta 90.00
_cell_angle_gamma 90.00
_symmetry_space_group_name_H-M 'F d d d'
_symmetry_Int_Tables_number 70
loop_
_symmetry_equiv_pos_as_xyz
'x,y,z'
'-x,-y,-z'
'-x+1/4,-y+1/4,z'
'x+1/4,y+1/4,-z'
'x,-y+1/4,-z+1/4'
'-x,y+1/4,z+1/4'
'-x+1/4,y,-z+1/4'
'x+1/4,-y,z+1/4'
'x,y+1/2,z+1/2'
'-x,-y+1/2,-z+1/2'
'-x+1/4,-y+3/4,z+1/2'
'x+1/4,y+3/4,-z+1/2'
'x,-y+3/4,-z+3/4'
'-x,y+3/4,z+3/4'
'-x+1/4,y+1/2,-z+3/4'
'x+1/4,-y+1/2,z+3/4'
'x+1/2,y,z+1/2'
'-x+1/2,-y,-z+1/2'
'-x+3/4,-y+1/4,z+1/2'
'x+3/4,y+1/4,-z+1/2'
'x+1/2,-y+1/4,-z+3/4'
'-x+1/2,y+1/4,z+3/4'
'-x+3/4,y,-z+3/4'
'x+3/4,-y,z+3/4'
'x+1/2,y+1/2,z'
'-x+1/2,-y+1/2,-z'
'-x+3/4,-y+3/4,z'
'x+3/4,y+3/4,-z'
'x+1/2,-y+3/4,-z+1/4'
'-x+1/2,y+3/4,z+1/4'
'-x+3/4,y+1/2,-z+1/4'
'x+3/4,-y+1/2,z+1/4'
loop_
_atom_site_label
_atom_site_type_symbol
_atom_site_fract_x
_atom_site_fract_y
_atom_site_fract_z
Rb1 Rb 0.125 0.125 0.310
Mn1 Mn 0.125 0.125 0.625
Sn1 Sn 0.125 0.125 0.125
Te1 Te 0.123 0.274 0.813
```


6.
Here is a geometry-optimized Rb2SrMn structure from the Alexandria database. Energies are from PBE-GGA.

Results
spin magnetization = 1.045 μB/atom
DFT total energy = -0.17709 Ry per atom
energy relative to the elements = 787 meV per atom

Structure (CIF):
```
data_Rb2SrMn
_cell_length_a 9.567
_cell_length_b 9.567
_cell_length_c 9.567
_cell_angle_alpha 90.00
_cell_angle_beta 90.00
_cell_angle_gamma 90.00
_symmetry_space_group_name_H-M 'F m -3 m'
_symmetry_Int_Tables_number 225
_symmetry_space_group_name_Hall '-F 4 2 3'
loop_
_atom_site_label
_atom_site_type_symbol
_atom_site_fract_x
_atom_site_fract_y
_atom_site_fract_z
Rb1 Rb 0.250 0.250 0.250
Sr1 Sr 0.000 0.000 0.000
Mn1 Mn 0.000 0.000 0.500
```


7.
Here is a geometry-optimized Rb3SrMn structure from the Alexandria database. Energies are from PBE-GGA.

Results
relative energy among the computed polymorphs = 0 meV/atom
spin magnetization = 0.949 μB/atom
DFT total energy = -0.14985 Ry per atom
energy relative to the elements = 712 meV per atom

Structure (CIF):
```
data_Rb3SrMn
_cell_length_a 7.165
_cell_length_b 7.165
_cell_length_c 7.165
_cell_angle_alpha 90.00
_cell_angle_beta 90.00
_cell_angle_gamma 90.00
_symmetry_space_group_name_H-M 'P m -3 m'
_symmetry_Int_Tables_number 221
_symmetry_space_group_name_Hall '-P 4 2 3'
loop_
_atom_site_label
_atom_site_type_symbol
_atom_site_fract_x
_atom_site_fract_y
_atom_site_fract_z
Rb1 Rb 0.000 0.000 0.500
Sr1 Sr 0.500 0.500 0.500
Mn1 Mn 0.000 0.000 0.000
```


8.
Here is a geometry-optimized Rb3SrMn structure from the Alexandria database. Energies are from PBE-GGA.

Results
relative energy among the computed polymorphs = 329 meV/atom
spin magnetization = 0.951 μB/atom
DFT total energy = -0.12569 Ry per atom
energy relative to the elements = 1041 meV per atom

Structure (CIF):
```
data_Rb3SrMn
_cell_length_a 8.302
_cell_length_b 8.302
_cell_length_c 8.302
_cell_angle_alpha 90.00
_cell_angle_beta 90.00
_cell_angle_gamma 90.00
_symmetry_space_group_name_H-M 'P m -3 m'
_symmetry_Int_Tables_number 221
_symmetry_space_group_name_Hall '-P 4 2 3'
loop_
_atom_site_label
_atom_site_type_symbol
_atom_site_fract_x
_atom_site_fract_y
_atom_site_fract_z
Rb1 Rb 0.000 0.000 0.500
Sr1 Sr 0.000 0.000 0.000
Mn1 Mn 0.500 0.500 0.500
```


Question: Among the records above, which one has the highest DFT total energy?
Answer: number 8